VASP calculation (PBE with a Hubbard U) on crystalline FeAuOF2 at its relaxed geometry.

CIF file:
```
data_FeAuOF2
_chemical_formula_sum 'Fe1 Au1 O1 F2'
_cell_length_a 4.053
_cell_length_b 4.053
_cell_length_c 3.912
_cell_angle_alpha 90.00
_cell_angle_beta 90.00
_cell_angle_gamma 90.00
_space_group_name_H-M_alt 'P 4/m m m'
_space_group_IT_number 123
_space_group_name_Hall '-P 4 2'
loop_
_atom_site_label
_atom_site_type_symbol
_atom_site_fract_x
_atom_site_fract_y
_atom_site_fract_z
_atom_site_occupancy
Fe1 Fe 0.000 0.000 0.000 1
Au1 Au 0.500 0.500 0.500 1
O1 O 0.000 0.000 0.500 1
F1 F 0.000 0.500 0.000 1
```

## Properties
E above lowest polymorph = 0.00 eV/f.u.
Fermi-level density of states = 0.23 states/eV per cell